No. 1
Density functional theory data (GGA-PBE) for a relaxed MnCdSb2 crystal.

## Properties
formation energy without anion corrections: 0.16 eV per atom

```
data_MnCdSb2
_cell_length_a 14.3191
_cell_length_b 3.1182
_cell_length_c 4.5074
_cell_angle_alpha 90.00
_cell_angle_beta 108.10
_cell_angle_gamma 90.00
_symmetry_space_group_name_H-M 'C 1 m 1'
_symmetry_Int_Tables_number 8
_symmetry_space_group_name_Hall 'C -2y'
loop_
_atom_site_label
_atom_site_type_symbol
_atom_site_fract_x
_atom_site_fract_y
_atom_site_fract_z
Mn1 Mn 0.0000 0.0000 0.0000
Cd1 Cd 0.3004 0.0000 0.7998
Sb1 Sb 0.1750 0.5000 0.1749
Sb2 Sb 0.4681 0.0000 0.4687
```



No. 2
Density functional theory data (GGA-PBE) for a relaxed Ac6Ir4Pt crystal.

## Properties
formation enthalpy at 0 K: -0.6095 eV/atom

```
data_Ac6Ir4Pt
_cell_length_a 8.5755
_cell_length_b 8.5471
_cell_length_c 9.6315
_cell_angle_alpha 90.00
_cell_angle_beta 116.34
_cell_angle_gamma 90.00
_symmetry_space_group_name_H-M 'C 1 m 1'
_symmetry_Int_Tables_number 8
_symmetry_space_group_name_Hall 'C -2y'
loop_
_atom_site_label
_atom_site_type_symbol
_atom_site_fract_x
_atom_site_fract_y
_atom_site_fract_z
Ac1 Ac 0.0000 0.0000 0.0000
Ac2 Ac 0.0168 0.5000 0.9995
Ac3 Ac 0.1158 0.2418 0.7133
Ac4 Ac 0.1876 0.2501 0.3568
Ir1 Ir 0.2983 0.2378 0.0790
Ir2 Ir 0.3152 0.5000 0.6341
Ir3 Ir 0.3377 0.0000 0.6341
Pt1 Pt 0.4370 0.0000 0.3562
```



No. 3
Density functional theory data (GGA-PBE) for a relaxed VCo3Cl crystal.

## Properties
distance to the lowest polymorph of the same formula: 429 meV per atom
formation energy without anion corrections: 1.32 eV per atom

```
data_VCo3Cl
_cell_length_a 4.3677
_cell_length_b 4.3677
_cell_length_c 4.3677
_cell_angle_alpha 90.00
_cell_angle_beta 90.00
_cell_angle_gamma 90.00
_symmetry_space_group_name_H-M 'P m -3 m'
_symmetry_Int_Tables_number 221
_symmetry_space_group_name_Hall '-P 4 2 3'
loop_
_atom_site_label
_atom_site_type_symbol
_atom_site_fract_x
_atom_site_fract_y
_atom_site_fract_z
V1 V 0.0000 0.0000 0.0000
Co1 Co 0.0000 0.0000 0.5000
Cl1 Cl 0.5000 0.5000 0.5000
```



No. 4
Density functional theory data (GGA-PBE) for a relaxed TeOsSe2 crystal.

## Properties
formation energy without anion corrections: 0.54 eV per atom

```
data_TeOsSe2
_cell_length_a 3.0309
_cell_length_b 5.3153
_cell_length_c 11.5276
_cell_angle_alpha 90.00
_cell_angle_beta 90.00
_cell_angle_gamma 90.00
_symmetry_space_group_name_H-M 'C m m m'
_symmetry_Int_Tables_number 65
_symmetry_space_group_name_Hall '-C 2 2'
loop_
_atom_site_label
_atom_site_type_symbol
_atom_site_fract_x
_atom_site_fract_y
_atom_site_fract_z
Te1 Te 0.0000 0.0000 0.0000
Os1 Os 0.0000 0.0000 0.5000
Se1 Se 0.0000 0.5000 0.3237
```



No. 5
Density functional theory data (GGA-PBE) for a relaxed LaPrNdEr crystal.

## Properties
formation enthalpy at 0 K: 0.1144 eV/atom

```
data_LaPrNdEr
_cell_length_a 8.2458
_cell_length_b 8.2458
_cell_length_c 8.2458
_cell_angle_alpha 90.00
_cell_angle_beta 90.00
_cell_angle_gamma 90.00
_symmetry_space_group_name_H-M 'F -4 3 m'
_symmetry_Int_Tables_number 216
_symmetry_space_group_name_Hall 'F -4 2 3'
loop_
_atom_site_label
_atom_site_type_symbol
_atom_site_fract_x
_atom_site_fract_y
_atom_site_fract_z
La1 La 0.0000 0.0000 0.0000
Pr1 Pr 0.0000 0.0000 0.5000
Nd1 Nd 0.2500 0.2500 0.2500
Er1 Er 0.2500 0.2500 0.7500
```



No. 6
Density functional theory data (GGA-PBE) for a relaxed Na2PtSe2 crystal.

## Properties
formation energy without anion corrections: -0.05 eV per atom

```
data_Na2PtSe2
_cell_length_a 3.7270
_cell_length_b 3.7270
_cell_length_c 17.2218
_cell_angle_alpha 90.00
_cell_angle_beta 90.00
_cell_angle_gamma 90.00
_symmetry_space_group_name_H-M 'I 4/m m m'
_symmetry_Int_Tables_number 139
_symmetry_space_group_name_Hall '-I 4 2'
loop_
_atom_site_label
_atom_site_type_symbol
_atom_site_fract_x
_atom_site_fract_y
_atom_site_fract_z
Na1 Na 0.0000 0.0000 0.0951
Pt1 Pt 0.0000 0.0000 0.5000
Se1 Se 0.0000 0.5000 0.2500
```



no.,DFT total energy (eV per atom)
1,-4.42
2,-6.62
3,-5.14
4,-4.80
5,-4.65
6,-3.18